[1]
Computed, not measured: a relaxed structure of LiAg3H at the PBE level of DFT.

Output
Energy above the most stable polymorph in this dataset (meV per atom): 868
V (Å³/atom): 18.93
Symmetry: Pm-3m (221)

abc: 4.5574 4.5574 4.5574
angles: 90.00 90.00 90.00
Last column: nearest neighbours and their distance in Å.
Atoms (fractional coordinates):
Li1 0.0000 0.0000 0.0000  6 Ag 2.28
Ag1 0.0000 0.0000 0.5000  2 Li 2.28
Ag2 0.0000 0.5000 0.0000  2 Li 2.28
Ag3 0.5000 0.0000 0.0000  2 Li 2.28
H1 0.5000 0.5000 0.5000  12 Ag 3.22


[2]
Computed, not measured: a relaxed structure of Er6Al2Pt at the PBE level of DFT.

Output
V (Å³/atom): 25.52
Formation energy from the elements (eV/atom): -0.450
Symmetry: P4_2/mnm (136)

abc: 9.6730 9.6730 4.9094
angles: 90.00 90.00 90.00
Last column: nearest neighbours and their distance in Å.
Atoms (fractional coordinates):
Er1 0.0291 0.3057 0.0000  1 Pt 2.97, 3 Al 3.09-3.15
Er2 0.1182 0.8818 0.5000  2 Pt 2.94, 1 Er 3.24, 2 Al 3.29
Er3 0.1943 0.5291 0.5000  1 Pt 2.97, 3 Al 3.09-3.15
Er4 0.3057 0.0291 0.0000  1 Pt 2.97, 3 Al 3.09-3.15
Er5 0.3818 0.3818 0.0000  2 Pt 2.94, 1 Er 3.24, 2 Al 3.29
Er6 0.4709 0.8057 0.5000  1 Pt 2.97, 3 Al 3.09-3.15
Er7 0.5291 0.1943 0.5000  1 Pt 2.97, 3 Al 3.09-3.15
Er8 0.6182 0.6182 0.0000  2 Pt 2.94, 1 Er 3.24, 2 Al 3.29
Er9 0.6943 0.9709 0.0000  1 Pt 2.97, 3 Al 3.09-3.15
Er10 0.8057 0.4709 0.5000  1 Pt 2.97, 3 Al 3.09-3.15
Er11 0.8818 0.1182 0.5000  2 Pt 2.94, 1 Er 3.24, 2 Al 3.29
Er12 0.9709 0.6943 0.0000  1 Pt 2.97, 3 Al 3.09-3.15
Al1 0.2095 0.2095 0.5000  10 Er 3.09-3.40
Al2 0.2905 0.7095 0.0000  10 Er 3.09-3.40
Al3 0.7095 0.2905 0.0000  10 Er 3.09-3.40
Al4 0.7905 0.7905 0.5000  10 Er 3.09-3.40
Pt1 0.0000 0.0000 0.0000  8 Er 2.94-2.97
Pt2 0.5000 0.5000 0.5000  8 Er 2.94-2.97


| no. | DFT total energy (eV per atom) |
| --- | --- |
| 1 | -1.83 |
| 2 | -4.99 |